GGA-PBE TlCd2O3, relaxed; D(E_F) = 1.9 states/eV/cell; theoretical density = 8.96 g cm⁻³; total magnetization = 0.00 Bohr magnetons per cell; energy = -3.99 eV per atom; space-group type = I4/mmm (139)
1.0
-1.169 3.229 0.445
-3.242 -1.200 0.191
2.913 -1.765 6.986
O Tl Cd
3 1 2
Direct
0.606 0.608 0.218
0.262 0.264 0.530
0.934 0.936 0.874
0.434 0.436 0.874
0.765 0.766 0.535
0.104 0.105 0.213

=====

GGA-PBE TlCd2O, relaxed; D(E_F) = 2.1 states/eV/cell; theoretical density = 7.73 g cm⁻³; total magnetization = 0.00 Bohr magnetons per cell; energy = -2.62 eV per atom; space-group type = I-42d (122)
1.0
6.623 0.000 0.000
0.000 6.623 0.000
3.311 3.311 4.360
Cd Tl O
4 2 2
Direct
0.875 0.781 0.750
0.531 0.125 0.250
0.219 0.625 0.250
0.375 0.469 0.750
0.750 0.250 0.500
0.000 0.000 0.000
0.250 0.750 0.500
0.500 0.500 0.000

=====

GGA-PBE Tl2CdO2, relaxed; theoretical density = 7.35 g cm⁻³; total magnetization = 0.00 Bohr magnetons per cell; energy = -3.75 eV per atom; space-group type = Ibam (72)
1.0
-6.301 2.355 -0.080
-2.205 3.917 6.196
-0.825 7.452 1.543
Tl Cd O
4 2 4
Direct
0.143 0.904 0.810
0.857 0.096 0.190
0.357 0.190 0.096
0.643 0.810 0.904
0.750 0.500 0.500
0.250 0.500 0.500
0.525 0.231 0.719
0.975 0.281 0.769
0.475 0.769 0.281
0.025 0.719 0.231

=====

GGA-PBE TlCd2O, relaxed; D(E_F) = 3.2 states/eV/cell; theoretical density = 8.83 g cm⁻³; total magnetization = 0.64 Bohr magnetons per cell; energy = -2.09 eV per atom; space-group type = Fm-3m (225)
1.0
0.000 3.472 3.472
3.472 0.000 3.472
3.472 3.472 0.000
Tl Cd O
1 2 1
Direct
0.500 0.500 0.500
0.250 0.250 0.250
0.750 0.750 0.750
0.000 0.000 0.000

=====

GGA-PBE Tl3CdO4, relaxed; D(E_F) = 3.1 states/eV/cell; theoretical density = 8.40 g cm⁻³; total magnetization = 0.00 Bohr magnetons per cell; energy = -4.14 eV per atom; space-group type = I-42m (121)
1.0
5.378 0.000 0.000
0.000 5.378 0.000
-2.689 -2.689 5.399
O Cd Tl
4 1 3
Direct
0.637 0.108 0.745
0.892 0.892 0.255
0.108 0.637 0.745
0.363 0.363 0.255
0.000 0.000 0.000
0.250 0.750 0.500
0.750 0.250 0.500
0.500 0.500 0.000

=====

GGA-PBE TlCd4O5, relaxed; D(E_F) = 0.7 states/eV/cell; theoretical density = 8.54 g cm⁻³; total magnetization = 0.00 Bohr magnetons per cell; energy = -3.99 eV per atom; space-group type = I4/m (87)
1.0
4.772 0.000 0.000
2.386 5.469 0.000
2.386 0.000 5.469
Tl Cd O
1 4 5
Direct
0.001 0.000 0.000
0.197 0.200 0.408
0.605 0.592 0.200
0.805 0.800 0.592
0.397 0.408 0.800
0.890 0.424 0.798
0.688 0.202 0.424
0.501 0.000 0.000
0.112 0.576 0.202
0.314 0.798 0.576

=====

GGA-PBE TlCd2O3, relaxed; D(E_F) = 3.3 states/eV/cell; theoretical density = 8.96 g cm⁻³; total magnetization = 0.00 Bohr magnetons per cell; energy = -4.00 eV per atom; space-group type = Immm (71)
1.0
4.790 0.000 0.000
0.000 6.996 0.002
-2.395 -1.751 5.276
O Cd Tl
6 4 2
Direct
0.181 0.091 0.362
0.819 0.909 0.638
0.819 0.409 0.638
0.181 0.591 0.362
0.500 0.250 0.000
0.500 0.750 0.000
0.669 0.585 0.338
0.331 0.415 0.662
0.331 0.915 0.662
0.669 0.085 0.338
0.000 0.750 0.000
0.000 0.250 0.000

=====

GGA-PBE TmTl4CdO8, relaxed; D(E_F) = 1.9 states/eV/cell; theoretical density = 9.00 g cm⁻³; total magnetization = 0.00 Bohr magnetons per cell; energy = -5.12 eV per atom; space-group type = R3m (160)
1.0
-2.648 6.072 -1.734
-4.871 0.366 -4.798
-6.421 1.561 1.752
O Tm Tl Cd
8 1 4 1
Direct
0.763 0.763 0.712
0.234 0.234 0.751
0.239 0.239 0.284
0.234 0.780 0.751
0.765 0.216 0.253
0.780 0.234 0.751
0.216 0.765 0.253
0.765 0.765 0.253
0.002 0.002 0.995
0.001 0.497 0.501
0.001 0.001 0.501
0.625 0.625 0.126
0.497 0.001 0.501
0.377 0.377 0.869

=====

GGA-PBE UTl2CdO6, relaxed; D(E_F) = 7.1 states/eV/cell; theoretical density = 8.81 g cm⁻³; total magnetization = 0.00 Bohr magnetons per cell; energy = -6.22 eV per atom; space-group type = C2/m (12)
1.0
6.110 -0.002 -0.006
-0.001 6.110 -0.005
3.050 3.050 4.311
O Tl Cd U
6 2 1 1
Direct
0.739 0.738 0.524
0.263 0.737 0.000
0.737 0.263 0.000
0.263 0.263 0.001
0.737 0.737 0.999
0.261 0.262 0.476
0.751 0.249 0.500
0.249 0.751 0.500
0.000 0.000 0.000
0.500 0.500 0.000

=====

GGA-PBE UTl2CdO8, relaxed; D(E_F) = 11.0 states/eV/cell; theoretical density = 8.00 g cm⁻³; total magnetization = 1.21 Bohr magnetons per cell; energy = -6.00 eV per atom; space-group type = P-1 (2)
1.0
5.192 -0.107 -0.105
-0.080 5.179 0.094
-0.132 0.149 6.859
O Tl Cd U
8 2 1 1
Direct
0.174 0.824 0.766
0.812 0.191 0.794
0.304 0.301 0.000
0.188 0.809 0.206
0.696 0.699 0.000
0.826 0.176 0.234
0.692 0.695 0.500
0.308 0.305 0.500
0.487 0.513 0.747
0.513 0.487 0.253
0.000 0.000 0.500
0.000 0.000 0.000

=====

GGA-PBE U2Tl3CdO9, relaxed; D(E_F) = 9.8 states/eV/cell; theoretical density = 9.07 g cm⁻³; total magnetization = 0.00 Bohr magnetons per cell; energy = -7.00 eV per atom; space-group type = P-3m1 (164)
1.0
6.134 0.000 0.000
-3.067 5.312 0.000
0.000 0.000 7.562
O U Tl Cd
9 2 3 1
Direct
0.000 0.500 0.000
0.824 0.176 0.682
0.648 0.824 0.318
0.176 0.352 0.318
0.352 0.176 0.682
0.500 0.000 0.000
0.824 0.648 0.682
0.176 0.824 0.318
0.500 0.500 0.000
0.333 0.667 0.166
0.667 0.333 0.834
0.333 0.667 0.646
0.000 0.000 0.000
0.667 0.333 0.354
0.000 0.000 0.500